A plane-wave DFT calculation with PBE-GGA was carried out for a relaxed structure of Pm2Cu2Pd15.

Values from the calculation:
**Formation enthalpy at 0 K**: -298 meV per atom
**D(E_F)**: 19.7 states/eV/f.u.

Lattice parameters (Å, degrees): 6.959 6.959 6.959 81.76 81.76 81.76
Element x y z (fractional)
Pd 0.346 0.346 0.844
Pd 0.304 0.696 0.000
Pd 0.500 0.000 0.000
Pd 0.000 0.696 0.304
Pd 0.156 0.654 0.654
Pd 0.346 0.844 0.346
Pd 0.696 0.000 0.304
Cu 0.093 0.093 0.093
Pd 0.000 0.304 0.696
Cu 0.907 0.907 0.907
Pm 0.336 0.336 0.336
Pd 0.654 0.654 0.156
Pd 0.000 0.000 0.500
Pd 0.654 0.156 0.654
Pd 0.844 0.346 0.346
Pm 0.664 0.664 0.664
Pd 0.000 0.500 0.000
Pd 0.304 0.000 0.696
Pd 0.696 0.304 0.000



A plane-wave DFT calculation with PBE-GGA was carried out for a relaxed structure of Ho2Cu2O5.

Values from the calculation:
**Raw formation energy**: -2.187 eV/atom
**D(E_F)**: 3.0 states/eV/f.u.
**Excess energy over the best structure of this formula in the dataset**: 31.4 meV/atom

Lattice parameters (Å, degrees): 3.936 4.859 6.636 113.10 107.25 90.00
Site moments in Bohr magnetons follow the coordinates.
Element x y z (fractional)
Cu 0.103 0.805 0.205  0.15
O 0.000 0.000 0.000  0.02
O 0.590 0.805 0.180  0.04
Ho 0.619 0.335 0.238  0.00
O 0.809 0.428 0.618  0.03
Ho 0.381 0.665 0.762  0.00
O 0.410 0.195 0.820  0.04
O 0.191 0.572 0.382  0.03
Cu 0.897 0.195 0.795  0.15



A plane-wave DFT calculation with PBE-GGA was carried out for a relaxed structure of LiDyPd.

Values from the calculation:
**Formation enthalpy at 0 K**: -510 meV per atom
**D(E_F)**: 1.5 states/eV/f.u.
**Excess energy over the best structure of this formula in the dataset**: 90.1 meV/atom

Lattice parameters (Å, degrees): 3.473 4.664 8.326 90.00 90.00 90.00
Element x y z (fractional)
Pd 0.812 0.716 0.790
Dy 0.312 0.216 0.719
Li 0.811 0.216 0.311
Pd 0.812 0.216 0.003
Li 0.812 0.716 0.481
Dy 0.312 0.716 0.074



A plane-wave DFT calculation with PBE-GGA was carried out for a relaxed structure of TlIrRh2.

Values from the calculation:
**Formation enthalpy at 0 K**: 227 meV per atom
**D(E_F)**: 3.1 states/eV/f.u.
**Excess energy over the best structure of this formula in the dataset**: 27.4 meV/atom

Lattice parameters (Å, degrees): 4.840 4.840 4.840 130.38 130.38 72.80
Element x y z (fractional)
Rh 0.750 0.250 0.500
Tl 0.500 0.500 0.000
Ir 0.000 0.000 0.000
Rh 0.250 0.750 0.500



A plane-wave DFT calculation with PBE-GGA was carried out for a relaxed structure of RbNa2MgSb.

Values from the calculation:
**Raw formation energy**: -0.098 eV/atom
**D(E_F)**: 2.5 states/eV/f.u.

Lattice parameters (Å, degrees): 6.048 6.048 5.877 90.00 90.00 90.00
Element x y z (fractional)
Rb 0.500 0.500 0.500
Sb 0.000 0.000 0.000
Na 0.500 0.000 0.000
Na 0.000 0.500 0.000
Mg 0.000 0.000 0.500



A plane-wave DFT calculation with PBE-GGA was carried out for a relaxed structure of Ta2MnSe6.

Values from the calculation:
**Raw formation energy**: -0.471 eV/atom
**D(E_F)**: 3.1 states/eV/f.u.
**Excess energy over the best structure of this formula in the dataset**: 204.7 meV/atom

Lattice parameters (Å, degrees): 5.908 6.301 11.416 90.00 89.88 90.00
Site moments in Bohr magnetons follow the coordinates.
Element x y z (fractional)
Ta 0.419 0.134 0.247  0.25
Se 0.688 0.437 0.213  0.00
Mn 0.000 0.000 0.500  3.93
Se 0.836 0.678 0.903  -0.02
Se 0.312 0.563 0.787  0.00
Se 0.164 0.322 0.097  -0.02
Se 0.336 0.822 0.403  -0.02
Se 0.812 0.937 0.287  0.00
Ta 0.919 0.366 0.747  0.25
Se 0.194 0.332 0.404  -0.01
Se 0.694 0.168 0.904  -0.01
Se 0.188 0.063 0.713  0.00
Se 0.306 0.832 0.096  -0.01
Mn 0.500 0.500 0.000  3.93
Se 0.664 0.178 0.597  -0.02
Ta 0.581 0.866 0.753  0.25
Ta 0.081 0.634 0.253  0.25
Se 0.806 0.668 0.596  -0.01



A plane-wave DFT calculation with PBE-GGA was carried out for a relaxed structure of Zr4SnGe.

Values from the calculation:
**Formation enthalpy at 0 K**: -581 meV per atom
**D(E_F)**: 3.3 states/eV/f.u.
**Excess energy over the best structure of this formula in the dataset**: 0.0 meV/atom

Lattice parameters (Å, degrees): 5.616 6.801 6.801 90.00 90.00 90.00
Element x y z (fractional)
Zr 0.500 0.357 0.836
Zr 0.500 0.643 0.164
Zr 0.500 0.164 0.357
Ge 0.250 0.500 0.500
Sn 0.250 0.000 0.000
Zr 0.000 0.164 0.643
Ge 0.750 0.500 0.500
Sn 0.750 0.000 0.000
Zr 0.000 0.836 0.357
Zr 0.000 0.357 0.164
Zr 0.000 0.643 0.836
Zr 0.500 0.836 0.643



A plane-wave DFT calculation with PBE-GGA was carried out for a relaxed structure of PuB2O6.

Values from the calculation:
**Raw formation energy**: -2.302 eV/atom
**D(E_F)**: 1.8 states/eV/f.u.

Lattice parameters (Å, degrees): 4.705 7.521 7.521 80.64 112.64 112.64
Site moments in Bohr magnetons follow the coordinates.
Element x y z (fractional)
O 0.497 0.294 0.355  -0.01
O 0.997 0.355 0.294  -0.01
O 0.936 0.152 0.644  -0.11
B 0.187 0.293 0.223  0.00
O 0.436 0.644 0.152  -0.11
O 0.088 0.242 0.041  -0.05
B 0.313 0.777 0.707  0.00
B 0.687 0.223 0.293  0.00
O 0.412 0.959 0.758  -0.05
Pu 0.750 0.250 0.750  2.35
O 0.064 0.848 0.356  -0.11
O 0.503 0.706 0.645  -0.01
Pu 0.250 0.750 0.250  2.35
O 0.912 0.758 0.959  -0.05
O 0.588 0.041 0.242  -0.05
O 0.564 0.356 0.848  -0.11
B 0.813 0.707 0.777  0.00
O 0.003 0.645 0.706  -0.01